# LiMn2O4 GGA+U optimized geometry
# Excess energy over the best structure of this formula in the dataset, eV per atom: 0.056
# Final energy, eV per atom: -6.8474
data_LiMn2O4
_chemical_formula_sum 'Li12 Mn24 O48'
_space_group_name_H-M_alt 'C 1 c 1'
_space_group_IT_number 9
_cell_length_a 10.0497
_cell_length_b 5.8301
_cell_length_c 14.2161
_cell_angle_alpha 90.00
_cell_angle_beta 92.64
_cell_angle_gamma 90.00
loop_
_space_group_symop_operation_xyz
'x,y,z'
'x,-y,z+1/2'
'x+1/2,y+1/2,z'
'x+1/2,-y+1/2,z+1/2'
loop_
_atom_site_label
_atom_site_fract_x
_atom_site_fract_y
_atom_site_fract_z
_atom_site_occupancy
Li1 0.0000 0.1127 0.0000 1
Li2 0.0657 0.3687 0.8600 1
Li3 0.4968 0.1465 0.9910 1
Mn1 0.0322 0.3770 0.6777 1
Mn2 0.0451 0.1236 0.1902 1
Mn3 0.2564 0.1259 0.5225 1
Mn4 0.2569 0.3760 0.0239 1
Mn5 0.3074 0.1254 0.8365 1
Mn6 0.3075 0.3745 0.3362 1
O1 0.0973 0.1230 0.5978 1
O2 0.0994 0.3692 0.1009 1
O3 0.1732 0.3807 0.4469 1
O4 0.1747 0.1307 0.9456 1
O5 0.2145 0.3742 0.7746 1
O6 0.2212 0.1236 0.2735 1
O7 0.3480 0.3736 0.5847 1
O8 0.3516 0.1237 0.0830 1
O9 0.3865 0.3773 0.9207 1
O10 0.3909 0.1245 0.4202 1
O11 0.4682 0.1185 0.7606 1
O12 0.4694 0.3663 0.2587 1